Density functional theory data (PBEsol) for a geometry-optimized Mg3ZnRh structure.

```
Mg3ZnRh
1.0
-1.7310 3.6819 -2.7018
-3.5984 0.6796 3.2314
2.8121 3.1360 2.4719
Zn Rh Mg
1 1 3
Direct
0.5000 0.5000 0.5000
0.0000 0.0000 0.0000
0.0000 0.5000 0.0000
0.0000 0.0000 0.5000
0.5000 0.0000 0.0000
```

Results
Energy relative to the lowest polymorph listed for this composition ... 0.000 eV/atom
Uncorrected energy ... -2.80 eV/atom
ΔE_f ... 0.171 eV/atom
M_tot ... 0.00 Bohr magnetons per cell
D(E_F) ... 2.02 states/eV/cell
Calculated volume ... 23.30 Å³ per atom



Density functional theory data (PBEsol) for a geometry-optimized NaPH4O5 structure.

```
NaPH4O5
1.0
7.4395 0.0000 0.0000
0.0000 7.5462 0.0000
0.0000 0.0000 7.7284
Na P H O
4 4 16 20
Direct
0.9798 0.5050 0.4847
0.4798 0.9950 0.9847
0.9798 0.0050 0.0153
0.4798 0.4950 0.5153
0.7458 0.3792 0.8787
0.2458 0.1208 0.3787
0.7458 0.8792 0.6213
0.2458 0.6208 0.1213
0.2114 0.1946 0.7282
0.7114 0.8054 0.2718
0.3444 0.7907 0.3432
0.3444 0.2907 0.1568
0.2275 0.2781 0.9114
0.7114 0.3054 0.2282
0.7275 0.2219 0.4114
0.4600 0.9479 0.5972
0.7275 0.7219 0.0886
0.9600 0.5521 0.0972
0.2114 0.6946 0.7718
0.9600 0.0521 0.4028
0.8444 0.7093 0.8432
0.2275 0.7781 0.5886
0.8444 0.2093 0.6568
0.4600 0.4479 0.9028
0.2360 0.7715 0.9937
0.0547 0.5695 0.1956
0.2119 0.1627 0.8532
0.8587 0.8347 0.7873
0.7360 0.2285 0.0063
0.8301 0.0503 0.5464
0.7119 0.3373 0.3532
0.0547 0.0695 0.3044
0.7119 0.8373 0.1468
0.2360 0.2715 0.5063
0.3301 0.9497 0.4536
0.7360 0.7285 0.4937
0.8301 0.5503 0.9536
0.8587 0.3347 0.7127
0.5547 0.9305 0.6956
0.3587 0.1653 0.2127
0.5547 0.4305 0.8044
0.2119 0.6627 0.6468
0.3587 0.6653 0.2873
0.3301 0.4497 0.0464
```

Results
Uncorrected energy ... -5.85 eV/atom
M_tot ... 0.00 Bohr magnetons per cell
D(E_F) ... 0.00 states/eV/cell
Calculated volume ... 9.86 Å³ per atom



Density functional theory data (PBEsol) for a geometry-optimized Ce structure.

```
Ce
1.0
-1.6281 2.7814 -0.2477
-3.1415 0.1065 0.7537
-0.9707 1.5475 2.6667
Ce
1
Direct
0.0000 0.0000 0.0000
```

Results
Energy relative to the lowest polymorph listed for this composition ... 0.000 eV/atom
Uncorrected energy ... -6.60 eV/atom
ΔE_f ... 0.000 eV/atom
M_tot ... 0.00 Bohr magnetons per cell
D(E_F) ... 1.78 states/eV/cell
Calculated volume ... 23.88 Å³ per atom



Density functional theory data (PBEsol) for a geometry-optimized TaAl3Fe structure.

```
TaAl3Fe
1.0
-1.9434 -3.8647 -0.1205
1.4008 -0.8294 4.0097
-3.6040 1.7616 1.6235
Al Fe Ta
3 1 1
Direct
0.0000 0.5000 0.0000
0.0000 0.0000 0.5000
0.5000 0.0000 0.0000
0.0000 0.0000 0.0000
0.5000 0.5000 0.5000
```

Results
Uncorrected energy ... -6.25 eV/atom
ΔE_f ... 0.511 eV/atom
M_tot ... 1.62 Bohr magnetons per cell
D(E_F) ... 5.36 states/eV/cell
Calculated volume ... 16.21 Å³ per atom



Density functional theory data (PBEsol) for a geometry-optimized BiSe2O structure.

```
BiSe2O
1.0
4.1258 0.0000 0.0000
2.0629 3.5731 0.0000
2.0629 1.1910 6.5738
Se Bi O
2 1 1
Direct
0.8513 0.8513 0.4462
0.1487 0.1487 0.5538
0.0000 0.0000 0.0000
0.5000 0.5000 0.5000
```

Results
ΔE_f (raw) ... 0.451 eV/atom
Energy relative to the lowest polymorph listed for this composition ... 0.026 eV/atom
Uncorrected energy ... -3.86 eV/atom
M_tot ... 0.00 Bohr magnetons per cell
D(E_F) ... 1.90 states/eV/cell
Calculated volume ... 24.23 Å³ per atom



Density functional theory data (PBEsol) for a geometry-optimized InCoRe structure.

```
InCoRe
1.0
-2.7367 -0.5471 0.3104
1.1390 0.0527 -2.5662
1.3258 -6.3727 0.4575
Re Co In
1 1 1
Direct
0.6667 0.3333 0.3046
0.0000 0.0000 0.0151
0.3333 0.6667 0.6803
```

Results
Uncorrected energy ... -7.65 eV/atom
ΔE_f ... 0.369 eV/atom
M_tot ... 0.73 Bohr magnetons per cell
D(E_F) ... 3.44 states/eV/cell
Calculated volume ... 14.85 Å³ per atom